Below is a relaxed structure of Tl6Sn2Pb3, with properties calculated at the PBE-GGA level.

Summary:
**DFT total energy**: -0.213 Ry per atom
**N(E_F)**: 0.556 states/eV per atom

Cell lengths 9.1546, 9.5480, 9.2643 Å; angles 90.00, 114.72, 90.00 degrees
With the nearest neighbours (Å) after each atom.
Space group C2/m (No. 12)
One atom of each set of equivalent atoms:
Tl 0.1657 0.0000 0.4827 (multiplicity 4)  1 Sn 3.08, 1 Tl 3.18, 1 Pb 3.31
Tl 0.2082 0.2393 0.2221 (multiplicity 8)  1 Sn 3.13, 3 Pb 3.28-3.46, 1 Tl 3.46
Sn 0.0340 0.5000 0.6734 (multiplicity 4)  1 Sn 3.01, 3 Tl 3.08-3.13, 1 Pb 3.17
Pb 0.0000 0.5000 0.0000 (multiplicity 2)  2 Sn 3.17, 4 Tl 3.28, 2 Pb 3.33
Pb 0.1044 0.0000 0.8919 (multiplicity 4)  2 Pb 3.30-3.33, 7 Tl 3.31-3.61